1.
Here is a relaxed structure of SrLi2N2 from Alexandria via LeMat-Bulk. Energies are from GGA-PBE.

Geometry as POSCAR:
```
SrLi2N2
1.0
-1.816 1.816 4.154
1.816 -1.816 4.154
1.816 1.816 -4.154
Sr Li N
1 2 2
Cartesian
0.000 0.000 0.000
1.816 0.000 2.077
0.000 1.816 2.077
0.000 0.000 3.310
0.000 0.000 4.999
```

Values from the calculation:
SG   I4/mmm, No. 139



2.
Here is a relaxed structure of SrLiTa4N8 from Alexandria via LeMat-Bulk. Energies are from GGA-PBE.

Geometry as POSCAR:
```
SrLiTa4N8
1.0
3.193 1.843 5.319
-3.193 1.843 5.319
0.000 -3.686 5.319
Sr Li Ta N
1 1 4 8
Cartesian
0.000 0.000 0.000
0.000 0.000 9.949
-1.667 -0.963 7.253
0.000 0.000 3.920
1.667 -0.963 7.253
0.000 1.925 7.253
0.000 -1.868 8.492
-1.618 0.934 8.492
0.000 0.000 6.056
-1.346 -0.777 11.538
0.000 0.000 13.664
1.346 -0.777 11.538
0.000 1.554 11.538
1.618 0.934 8.492
```

Values from the calculation:
SG   R3m, No. 160



3.
Here is a relaxed structure of SrLiTaN3 from Alexandria via LeMat-Bulk. Energies are from GGA-PBE.

Geometry as POSCAR:
```
SrLiTaN3
1.0
7.024 0.000 0.000
0.000 3.257 0.000
-2.110 0.000 6.944
Sr Li Ta N
2 2 2 6
Cartesian
0.988 0.814 1.707
3.927 2.443 5.236
-0.716 0.814 4.118
5.631 2.443 2.826
0.491 2.443 5.795
4.424 0.814 1.148
-0.823 0.814 6.027
0.341 2.443 3.837
2.943 2.443 1.061
1.972 0.814 5.882
4.573 0.814 3.107
5.738 2.443 0.917
```

Values from the calculation:
SG   P2_1/m, No. 11



Taking the records one at a time from the top gives E values of -4.63 -9.19 -7.44 eV per atom.
Taking the records one at a time from the top gives formation energy without anion corrections values of -94 -1065 -408 kJ/mol of formula units.